Entry from the Alexandria database: a geometry-optimized Tb5ThMg6 structure (GGA-PBE).

Structure (CIF):
```
data_Tb5ThMg6
_chemical_formula_sum 'Tb5 Th1 Mg6'
_space_group_name_H-M_alt 'P 1'
_space_group_IT_number 1
_space_group_name_Hall 'P 1'
_cell_length_a 5.380
_cell_length_b 7.612
_cell_length_c 8.506
_cell_angle_alpha 90.00
_cell_angle_beta 71.60
_cell_angle_gamma 90.00
loop_
_atom_site_label
_atom_site_type_symbol
_atom_site_fract_x
_atom_site_fract_y
_atom_site_fract_z
_atom_site_occupancy
Mg1 Mg 0.831 0.748 0.337 1
Mg2 Mg 0.831 0.252 0.337 1
Mg3 Mg 0.500 0.254 0.000 1
Mg4 Mg 0.500 0.746 0.000 1
Mg5 Mg 0.169 0.748 0.663 1
Mg6 Mg 0.169 0.252 0.663 1
Tb1 Tb 0.666 0.500 0.669 1
Tb2 Tb 0.335 0.000 0.330 1
Tb3 Tb 0.000 0.500 0.000 1
Tb4 Tb 0.665 0.000 0.670 1
Tb5 Tb 0.334 0.500 0.331 1
Th1 Th 0.000 0.000 0.000 1
```

Computed properties:
Energy   -3.40 eV/atom
Space group   Cmmm (65)
D(E_F)   13.2 states/eV/f.u.

=====

Entry from the Alexandria database: a geometry-optimized Tb2ThMg structure (GGA-PBE).

Structure (CIF):
```
data_Tb2ThMg
_chemical_formula_sum 'Tb2 Th1 Mg1'
_space_group_name_H-M_alt 'P 1'
_space_group_IT_number 1
_space_group_name_Hall 'P 1'
_cell_length_a 3.498
_cell_length_b 3.498
_cell_length_c 12.323
_cell_angle_alpha 81.84
_cell_angle_beta 81.84
_cell_angle_gamma 60.00
loop_
_atom_site_label
_atom_site_type_symbol
_atom_site_fract_x
_atom_site_fract_y
_atom_site_fract_z
_atom_site_occupancy
Mg1 Mg 0.000 0.000 0.000 1
Tb1 Tb 0.090 0.090 0.730 1
Tb2 Tb 0.910 0.910 0.270 1
Th1 Th 0.500 0.500 0.500 1
```

Computed properties:
Offset from the most stable computed form   239 meV per atom
Space group   R-3m (166)
D(E_F)   5.0 states/eV/f.u.